1.
This record from Alexandria describes an optimized crystal structure of AgTe2Br8. The functional is PBE-GGA.

## Properties
Energy above the lowest structure with this stoichiometry   0.6 kJ/mol of atoms
Total magnetization   0.0 μB/f.u.
Crystal system   triclinic
Final energy   -2.240 eV per atom
Formation energy from raw total energies   -193 meV per atom

POSCAR file:
```
AgTe2Br8
1.0
5.927 0.000 0.000
0.001 8.775 0.000
0.004 4.385 7.605
Ag Te Br
1 2 8
direct
0.000 0.000 0.000
0.222 0.667 0.667
0.778 0.333 0.333
0.257 0.319 0.841
0.257 0.839 0.319
0.257 0.842 0.840
0.262 0.333 0.333
0.738 0.667 0.667
0.743 0.158 0.160
0.743 0.161 0.681
0.743 0.681 0.159
```


2.
This record from Alexandria describes an optimized crystal structure of AgTe2Br8. The functional is PBE-GGA.

## Properties
Energy above the lowest structure with this stoichiometry   0.0 kJ/mol of atoms
Total magnetization   1.0 μB/f.u.
Crystal system   monoclinic
Final energy   -2.247 eV per atom
Formation energy from raw total energies   -200 meV per atom

POSCAR file:
```
AgTe2Br8
1.0
7.732 -4.068 0.000
7.732 4.068 0.000
-2.571 0.000 7.045
Ag Te Br
1 2 8
direct
0.000 0.000 0.000
0.133 0.133 0.581
0.867 0.867 0.419
0.176 0.738 0.226
0.218 0.218 0.336
0.262 0.824 0.774
0.279 0.279 0.859
0.721 0.721 0.141
0.738 0.176 0.226
0.782 0.782 0.664
0.824 0.262 0.774
```


3.
This record from Alexandria describes an optimized crystal structure of Ag2TeBr. The functional is PBE-GGA.

## Properties
Energy above the lowest structure with this stoichiometry   44.4 kJ/mol of atoms
Total magnetization   0.0 μB/f.u.
Crystal system   cubic
Final energy   -2.301 eV per atom
Formation energy from raw total energies   328 meV per atom

POSCAR file:
```
Ag2TeBr
1.0
0.000 3.625 3.625
3.625 0.000 3.625
3.625 3.625 0.000
Ag Te Br
2 1 1
direct
0.000 0.000 0.000
0.250 0.250 0.250
0.750 0.750 0.750
0.500 0.500 0.500
```


4.
This record from Alexandria describes an optimized crystal structure of Ag2TeBr. The functional is PBE-GGA.

## Properties
Energy above the lowest structure with this stoichiometry   5.3 kJ/mol of atoms
Total magnetization   0.0 μB/f.u.
Crystal system   monoclinic
Final energy   -2.706 eV per atom
Formation energy from raw total energies   -77 meV per atom

POSCAR file:
```
Ag2TeBr
1.0
4.439 -1.727 0.000
4.439 1.727 0.000
-0.562 0.000 7.162
Ag Te Br
2 1 1
direct
0.000 0.000 0.000
0.730 0.730 0.200
0.268 0.268 0.833
0.467 0.467 0.374
```


5.
This record from Alexandria describes an optimized crystal structure of Ag2TeBr. The functional is PBE-GGA.

## Properties
Energy above the lowest structure with this stoichiometry   18.0 kJ/mol of atoms
Total magnetization   0.0 μB/f.u.
Crystal system   monoclinic
Final energy   -2.575 eV per atom
Formation energy from raw total energies   55 meV per atom

POSCAR file:
```
Ag2TeBr
1.0
3.154 -4.084 0.000
3.154 4.084 0.000
-2.177 0.000 3.998
Ag Te Br
2 1 1
direct
0.000 0.500 0.000
0.500 0.000 0.000
0.000 0.000 0.500
0.500 0.500 0.500
```


6.
This record from Alexandria describes an optimized crystal structure of Ag2TeBr7. The functional is PBE-GGA.

## Properties
Total magnetization   1.0 μB/f.u.
Crystal system   monoclinic
Final energy   -2.287 eV per atom
Formation energy from raw total energies   -232 meV per atom

POSCAR file:
```
Ag2TeBr7
1.0
10.394 -3.614 0.000
10.394 3.614 0.000
-8.687 0.000 10.365
Ag Te Br
4 2 14
direct
0.178 0.230 0.436
0.230 0.178 0.936
0.770 0.822 0.064
0.822 0.770 0.564
0.300 0.700 0.250
0.700 0.300 0.750
0.045 0.783 0.312
0.064 0.463 0.651
0.122 0.581 0.000
0.217 0.955 0.188
0.344 0.656 0.750
0.419 0.878 0.500
0.463 0.064 0.151
0.537 0.936 0.849
0.581 0.122 0.500
0.656 0.344 0.250
0.783 0.045 0.812
0.878 0.419 0.000
0.936 0.537 0.349
0.955 0.217 0.688
```